Entry from Alexandria: a relaxed ScAl2Tc2 crystal (PBE). Values from VASP.

```
&SYSTEM
  ibrav = 0, nat = 10, ntyp = 3
/
ATOMIC_SPECIES
Sc 44.96 Sc.upf
Al 26.98 Al.upf
Tc 98.00 Tc.upf
ATOMIC_POSITIONS angstrom
Sc 0.000 0.000 0.000
Sc 3.490 3.490 0.000
Al 0.893 2.597 0.000
Al 2.597 6.088 0.000
Al 4.383 0.893 0.000
Al 6.088 4.383 0.000
Tc 1.170 4.661 1.621
Tc 2.320 1.170 1.621
Tc 4.661 5.810 1.621
Tc 5.810 2.320 1.621
CELL_PARAMETERS angstrom
6.981 0.000 0.000
0.000 6.981 0.000
0.000 0.000 3.242
```

calculated formation energy	-0.392	eV/atom
magnetization	2.0	Bohr magnetons per cell
excess energy over the best structure of this formula in the dataset	0.00	eV per formula unit


Entry from Alexandria: a relaxed ScAlTc crystal (PBE). Values from VASP.

```
&SYSTEM
  ibrav = 0, nat = 6, ntyp = 3
/
ATOMIC_SPECIES
Sc 44.96 Sc.upf
Al 26.98 Al.upf
Tc 98.00 Tc.upf
ATOMIC_POSITIONS angstrom
Sc 0.000 1.333 0.860
Sc 2.623 1.333 2.831
Al 2.623 0.000 0.000
Al 0.000 0.000 3.690
Tc 1.311 1.333 -1.845
Tc 1.311 -1.333 1.845
CELL_PARAMETERS angstrom
-2.623 2.666 3.690
2.623 -2.666 3.690
2.623 2.666 -3.690
```

calculated formation energy	-0.494	eV/atom
magnetization	0.0	Bohr magnetons per cell
excess energy over the best structure of this formula in the dataset	0.00	eV per formula unit


Entry from Alexandria: a relaxed Sc2Al2Tc crystal (PBE). Values from VASP.

```
&SYSTEM
  ibrav = 0, nat = 10, ntyp = 3
/
ATOMIC_SPECIES
Sc 44.96 Sc.upf
Al 26.98 Al.upf
Tc 98.00 Tc.upf
ATOMIC_POSITIONS angstrom
Sc 1.200 2.226 0.000
Sc 2.226 5.652 0.000
Sc 4.627 1.200 0.000
Sc 5.652 4.627 0.000
Al 0.915 4.341 1.973
Al 2.511 0.915 1.973
Al 4.341 5.937 1.973
Al 5.937 2.511 1.973
Tc 0.000 0.000 1.973
Tc 3.426 3.426 1.973
CELL_PARAMETERS angstrom
6.852 0.000 0.000
0.000 6.852 0.000
0.000 0.000 3.947
```

calculated formation energy	-0.243	eV/atom
magnetization	0.0	Bohr magnetons per cell


Entry from Alexandria: a relaxed ScAlTc crystal (PBE). Values from VASP.

```
&SYSTEM
  ibrav = 0, nat = 6, ntyp = 3
/
ATOMIC_SPECIES
Sc 44.96 Sc.upf
Al 26.98 Al.upf
Tc 98.00 Tc.upf
ATOMIC_POSITIONS angstrom
Sc 0.000 2.248 0.000
Sc 2.248 0.000 2.950
Al 0.000 2.248 2.950
Al 2.248 0.000 0.000
Tc 0.000 0.000 1.475
Tc 0.000 0.000 4.425
CELL_PARAMETERS angstrom
4.496 0.000 0.000
0.000 4.496 0.000
0.000 0.000 5.900
```

calculated formation energy	-0.093	eV/atom
magnetization	0.0	Bohr magnetons per cell
excess energy over the best structure of this formula in the dataset	1.20	eV per formula unit


Entry from Alexandria: a relaxed Sc2AlTc crystal (PBE). Values from VASP.

```
&SYSTEM
  ibrav = 0, nat = 4, ntyp = 3
/
ATOMIC_SPECIES
Sc 44.96 Sc.upf
Al 26.98 Al.upf
Tc 98.00 Tc.upf
ATOMIC_POSITIONS angstrom
Sc 0.000 0.000 0.000
Sc 1.639 1.639 1.639
Al 4.917 4.917 4.917
Tc 3.278 3.278 3.278
CELL_PARAMETERS angstrom
0.000 3.278 3.278
3.278 0.000 3.278
3.278 3.278 0.000
```

calculated formation energy	-0.224	eV/atom
magnetization	0.0	Bohr magnetons per cell
excess energy over the best structure of this formula in the dataset	0.61	eV per formula unit


Entry from Alexandria: a relaxed ScAl10Tc2 crystal (PBE). Values from VASP.

```
&SYSTEM
  ibrav = 0, nat = 26, ntyp = 3
/
ATOMIC_SPECIES
Sc 44.96 Sc.upf
Al 26.98 Al.upf
Tc 98.00 Tc.upf
ATOMIC_POSITIONS angstrom
Sc 4.561 3.778 6.812
Sc 4.561 -3.778 2.271
Al 2.549 1.395 6.812
Al 4.561 3.654 0.865
Al 4.561 3.654 3.676
Al 3.098 1.337 2.271
Al 2.073 0.000 0.000
Al 2.073 0.000 4.541
Al 4.561 1.302 4.874
Al 4.561 1.302 8.749
Al 2.549 -1.395 2.271
Al 3.098 -1.337 6.812
Al 6.025 1.337 2.271
Al 6.574 1.395 6.812
Al 4.561 -1.302 0.333
Al 4.561 -1.302 4.208
Al 7.050 0.000 0.000
Al 7.050 0.000 4.541
Al 6.025 -1.337 6.812
Al 4.561 -3.654 5.406
Al 4.561 -3.654 8.217
Al 6.574 -1.395 2.271
Tc 2.281 2.574 0.000
Tc 2.281 2.574 4.541
Tc 2.281 -2.574 0.000
Tc 2.281 -2.574 4.541
CELL_PARAMETERS angstrom
4.561 -5.147 0.000
4.561 5.147 0.000
0.000 0.000 9.082
```

calculated formation energy	-0.378	eV/atom
magnetization	0.0	Bohr magnetons per cell


Entry from Alexandria: a relaxed Sc2Al6Tc crystal (PBE). Values from VASP.

```
&SYSTEM
  ibrav = 0, nat = 9, ntyp = 3
/
ATOMIC_SPECIES
Sc 44.96 Sc.upf
Al 26.98 Al.upf
Tc 98.00 Tc.upf
ATOMIC_POSITIONS angstrom
Sc 0.000 3.177 0.634
Sc 2.751 1.588 5.496
Al 0.000 1.617 4.169
Al -1.351 3.956 4.169
Al 1.400 0.808 1.961
Al 1.351 3.956 4.169
Al 4.102 0.808 1.961
Al 2.751 3.148 1.961
Tc 0.000 0.000 0.000
CELL_PARAMETERS angstrom
5.502 0.000 0.000
-2.751 4.765 0.000
0.000 0.000 6.130
```

calculated formation energy	-0.363	eV/atom
magnetization	0.0	Bohr magnetons per cell


Entry from Alexandria: a relaxed ScAl2Tc2 crystal (PBE). Values from VASP.

```
&SYSTEM
  ibrav = 0, nat = 10, ntyp = 3
/
ATOMIC_SPECIES
Sc 44.96 Sc.upf
Al 26.98 Al.upf
Tc 98.00 Tc.upf
ATOMIC_POSITIONS angstrom
Sc 0.000 0.000 0.000
Sc 3.518 3.518 0.000
Al 0.974 2.544 1.627
Al 2.544 6.062 1.627
Al 4.492 0.974 1.627
Al 6.062 4.492 1.627
Tc 1.098 4.616 0.000
Tc 2.420 1.098 0.000
Tc 4.616 5.938 0.000
Tc 5.938 2.420 0.000
CELL_PARAMETERS angstrom
7.036 0.000 0.000
0.000 7.036 0.000
0.000 0.000 3.253
```

calculated formation energy	-0.239	eV/atom
magnetization	0.0	Bohr magnetons per cell
excess energy over the best structure of this formula in the dataset	0.76	eV per formula unit